Entry from the Alexandria database: crystalline Mn2IrPd8 at its relaxed geometry (PBE).

- ρ: 11.176 g/cm³
- Formation energy from the elements: -11 kJ/mol of formula units
- VASP energy: -6.2602 eV/atom
- Spin magnetization: 7.83 μB/f.u.

abc: 4.1221 6.9318 7.2273
angles: 118.66 106.57 90.00
With the nearest neighbours (Å) after each atom.
Fractional coordinates of all 11 atoms:
Pd 0.8473 0.8473 0.6946  2 Ir 2.76, 8 Pd 2.76-2.82, 2 Mn 2.78
Pd 0.6563 0.8793 0.3126  3 Mn 2.61-2.65, 1 Ir 2.68, 5 Pd 2.76-2.82
Ir 0.5000 0.0000 0.0000  12 Pd 2.68-2.92
Mn 0.8087 0.3087 0.6173  10 Pd 2.61-2.78
Pd 0.3437 0.5667 0.6874  3 Mn 2.61-2.65, 1 Ir 2.68, 5 Pd 2.76-2.82
Pd 0.0000 0.2980 0.0000  2 Mn 2.69, 7 Pd 2.76-2.80, 2 Ir 2.92
Pd 0.6563 0.4333 0.3126  3 Mn 2.61-2.65, 1 Ir 2.68, 5 Pd 2.76-2.82
Pd 0.1527 0.1527 0.3054  2 Ir 2.76, 8 Pd 2.76-2.82, 2 Mn 2.78
Pd 0.0000 0.7020 0.0000  2 Mn 2.69, 7 Pd 2.76-2.80, 2 Ir 2.92
Mn 0.1913 0.6913 0.3827  10 Pd 2.61-2.78
Pd 0.3437 0.1207 0.6874  3 Mn 2.61-2.65, 1 Ir 2.68, 5 Pd 2.76-2.82